Record 1
DFT (PBE) results for a relaxed structure of Pm12Tm6Mg.

abc: 8.681 8.681 8.681
angles: 97.53 97.53 97.53
Atoms (fractional coordinates):
Pm  0.582  0.582  0.169
Pm  0.261  0.000  0.739
Pm  0.739  0.000  0.261
Pm  0.000  0.261  0.739
Pm  0.418  0.831  0.418
Pm  0.000  0.739  0.261
Pm  0.582  0.169  0.582
Pm  0.831  0.418  0.418
Pm  0.418  0.418  0.831
Pm  0.261  0.739  0.000
Pm  0.169  0.582  0.582
Pm  0.739  0.261  0.000
Tm  0.593  0.863  0.862
Tm  0.862  0.593  0.863
Tm  0.407  0.137  0.138
Tm  0.138  0.407  0.137
Tm  0.137  0.138  0.407
Tm  0.863  0.862  0.593
Mg  0.000  0.000  0.000

## Properties
N(E_F), states/eV per atom: 1.2996
Theoretical density, g cm⁻³: 7.26
Total moment, μB per atom: 0.000



Record 2
DFT (PBE) results for a relaxed structure of Rb3TlCu2I6.

abc: 8.908 8.908 9.600
angles: 90.00 90.00 120.00
Atoms (fractional coordinates):
Cu  0.333  0.667  0.257
Cu  0.667  0.333  0.743
Rb  0.667  0.333  0.375
Rb  0.333  0.667  0.625
Rb  0.000  0.000  0.000
I  0.341  0.171  0.726
I  0.171  0.829  0.274
I  0.829  0.171  0.726
I  0.659  0.829  0.274
I  0.829  0.659  0.726
I  0.171  0.341  0.274
Tl  0.000  0.000  0.500

## Properties
N(E_F), states/eV per atom: 0.0000
Theoretical density, g cm⁻³: 3.40
E_form (uncorrected), meV per atom: -822
Total moment, μB per atom: 0.000



Record 3
DFT (PBE) results for a relaxed structure of K4TlPb.

abc: 7.212 7.212 7.212
angles: 60.00 60.00 60.00
Atoms (fractional coordinates):
K  0.873  0.376  0.376
K  0.376  0.873  0.376
K  0.376  0.376  0.873
K  0.376  0.376  0.376
Tl  0.000  0.000  0.000
Pb  0.750  0.750  0.750

## Properties
N(E_F), states/eV per atom: 0.4708
Theoretical density, g cm⁻³: 3.56
Total moment, μB per atom: 0.000



For reference, E_tot by record: -4.36 -2.72 -1.56 eV per atom.